Entry 1:
Crystalline Ag3As at its relaxed geometry, computed with PBE-GGA.

Calculated values
The value obtained for the energy of formation is 0.102 eV per atom.

The structure in POSCAR format:
```
Ag3As
1.0
-2.112 -3.558 -0.556
3.470 -2.183 0.788
-1.648 2.807 3.974
Ag As
3 1
direct
0.500 0.500 0.000
0.250 0.750 0.500
0.750 0.250 0.500
0.000 0.000 0.000
```

---

Entry 2:
Crystalline NaMo2Rh at its relaxed geometry, computed with PBE-GGA.

Calculated values
The value obtained for the energy of formation is 0.983 eV per atom. The value obtained for the excess energy over the best structure of this formula in the dataset is 5.7 kJ per mole of atoms.

The structure in POSCAR format:
```
NaMo2Rh
1.0
7.441 0.000 0.000
0.000 7.441 0.000
3.720 3.720 2.595
Rh Na Mo
2 2 4
direct
0.000 0.000 0.000
0.750 0.250 0.500
0.500 0.500 0.000
0.250 0.750 0.500
0.375 0.333 0.750
0.667 0.125 0.250
0.083 0.625 0.250
0.875 0.917 0.750
```

---

Entry 3:
Crystalline Nd3FeB7 at its relaxed geometry, computed with PBE-GGA.

Calculated values
The value obtained for the energy of formation is -0.378 eV per atom.

The structure in POSCAR format:
```
Nd3FeB7
1.0
-2.114 -2.338 -1.500
6.911 -0.736 -4.532
3.260 -6.850 6.085
B Fe Nd
14 2 6
direct
0.367 0.733 0.344
0.727 0.455 0.531
0.367 0.733 0.156
0.529 0.057 0.612
0.633 0.267 0.844
0.633 0.267 0.656
0.534 0.068 0.250
0.529 0.057 0.888
0.273 0.545 0.469
0.471 0.943 0.112
0.466 0.932 0.750
0.471 0.943 0.388
0.273 0.545 0.031
0.727 0.455 0.969
0.941 0.881 0.250
0.059 0.119 0.750
0.898 0.797 0.941
0.898 0.797 0.559
0.247 0.495 0.750
0.102 0.203 0.059
0.102 0.203 0.441
0.753 0.505 0.250
```

---

Entry 4:
Crystalline ZrInSb2 at its relaxed geometry, computed with PBE-GGA.

Calculated values
The calculation puts the total DFT energy (no corrections) at -20.5 eV/f.u.

The structure in POSCAR format:
```
ZrInSb2
1.0
-3.461 1.303 1.726
-2.013 -0.757 -3.467
-1.195 -5.758 1.952
Sb In Zr
2 1 1
direct
0.000 0.000 0.940
0.500 0.500 0.320
0.500 0.500 0.786
0.000 0.000 0.453
```

---

Entry 5:
Crystalline DyMgSc5 at its relaxed geometry, computed with PBE-GGA.

Calculated values
The value obtained for the energy of formation is 0.224 eV per atom. The value obtained for the excess energy over the best structure of this formula in the dataset is 5.8 kJ per mole of atoms.

The structure in POSCAR format:
```
DyMgSc5
1.0
4.711 0.000 0.000
0.000 4.711 0.000
0.000 0.000 8.533
Mg Sc Dy
1 5 1
direct
0.500 0.500 0.000
0.500 0.000 0.771
0.000 0.500 0.771
0.500 0.500 0.500
0.500 0.000 0.229
0.000 0.500 0.229
0.000 0.000 0.500
```

---

Entry 6:
Crystalline SrGa4Ni2Pt at its relaxed geometry, computed with PBE-GGA.

Calculated values
The value obtained for the energy of formation is -0.446 eV per atom.

The structure in POSCAR format:
```
SrGa4Ni2Pt
1.0
-0.476 0.456 -4.126
-2.188 -2.819 -2.175
-8.818 4.232 -0.630
Ga Sr Pt Ni
4 1 1 2
direct
0.593 0.593 0.221
0.407 0.407 0.779
0.129 0.129 0.613
0.871 0.871 0.387
0.000 0.000 0.000
0.500 0.500 0.500
0.776 0.776 0.673
0.224 0.224 0.327
```

---

Entry 7:
Crystalline MgRh at its relaxed geometry, computed with PBE-GGA.

Calculated values
The value obtained for the energy of formation is -0.251 eV per atom.

The structure in POSCAR format:
```
MgRh
1.0
-3.520 -2.143 -6.762
2.805 -5.527 4.927
-3.786 -0.129 2.012
Rh Mg
6 6
direct
0.108 0.554 0.250
0.554 0.446 0.750
0.554 0.108 0.750
0.446 0.554 0.250
0.446 0.892 0.250
0.892 0.446 0.750
0.190 0.381 0.750
0.190 0.810 0.750
0.619 0.810 0.750
0.810 0.619 0.250
0.381 0.190 0.250
0.810 0.190 0.250
```

---

Entry 8:
Crystalline Dy3Tm6Tl at its relaxed geometry, computed with PBE-GGA.

Calculated values
The value obtained for the energy of formation is 0.021 eV per atom. The value obtained for the excess energy over the best structure of this formula in the dataset is 0.0 kJ per mole of atoms.

The structure in POSCAR format:
```
Dy3Tm6Tl
1.0
3.463 0.000 0.000
0.000 12.152 -3.297
0.000 1.118 14.008
Dy Tm Tl
6 12 2
direct
0.750 0.629 0.504
0.250 0.925 0.900
0.750 0.075 0.100
0.750 0.423 0.903
0.250 0.577 0.097
0.250 0.371 0.496
0.750 0.490 0.691
0.750 0.342 0.118
0.250 0.226 0.285
0.750 0.774 0.715
0.250 0.192 0.924
0.250 0.658 0.882
0.750 0.808 0.076
0.750 0.752 0.309
0.250 0.510 0.309
0.250 0.248 0.691
0.750 0.116 0.468
0.250 0.884 0.532
0.750 0.034 0.721
0.250 0.966 0.279
```

---

Entry 9:
Crystalline CaNdTlIr at its relaxed geometry, computed with PBE-GGA.

Calculated values
The value obtained for the energy of formation is -0.323 eV per atom.

The structure in POSCAR format:
```
CaNdTlIr
1.0
5.185 0.000 0.000
2.593 4.491 0.000
2.593 1.497 4.234
Nd Ir Ca Tl
1 1 1 1
direct
0.750 0.750 0.750
0.000 0.000 0.000
0.250 0.250 0.250
0.500 0.500 0.500
```

---

Entry 10:
Crystalline MgCdNF2 at its relaxed geometry, computed with PBE-GGA.

Calculated values
The value obtained for the excess energy over the best structure of this formula in the dataset is 69.5 kJ per mole of atoms.

The structure in POSCAR format:
```
MgCdNF2
1.0
4.284 0.000 0.000
0.000 4.284 0.000
0.000 0.000 4.411
Cd F N Mg
1 2 1 1
direct
0.000 0.000 0.000
0.500 0.000 0.000
0.000 0.500 0.000
0.000 0.000 0.500
0.500 0.500 0.500
```

---

Entry 11:
Crystalline NiAs6Ru at its relaxed geometry, computed with PBE-GGA.

Calculated values
The value obtained for the energy of formation is -0.262 eV per atom.

The structure in POSCAR format:
```
NiAs6Ru
1.0
1.682 -6.869 2.079
6.890 -0.175 2.615
2.240 -2.368 7.814
Ru As Ni
2 12 2
direct
0.000 0.500 0.500
0.500 0.000 0.500
0.147 0.147 0.508
0.650 0.343 0.854
0.151 0.151 0.197
0.853 0.853 0.492
0.803 0.505 0.344
0.505 0.803 0.344
0.343 0.650 0.854
0.495 0.197 0.656
0.197 0.495 0.656
0.657 0.350 0.146
0.350 0.657 0.146
0.849 0.849 0.803
0.000 0.500 0.000
0.500 0.000 0.000
```

---

Entry 12:
Crystalline Pr2Nd3TmS6 at its relaxed geometry, computed with PBE-GGA.

Calculated values
The calculation puts the total DFT energy (no corrections) at -77.2 eV/f.u.

The structure in POSCAR format:
```
Pr2Nd3TmS6
1.0
7.016 -0.008 -0.001
-3.513 6.073 -0.001
-1.169 -2.025 6.596
Nd S Tm Pr
3 6 1 2
direct
0.173 0.827 0.500
0.827 0.173 0.500
0.500 0.500 0.500
0.764 0.764 0.248
0.600 0.919 0.757
0.236 0.236 0.752
0.081 0.400 0.243
0.400 0.081 0.243
0.919 0.600 0.757
0.000 0.000 0.000
0.333 0.667 0.000
0.667 0.333 0.000
```